Compound: SrCrPd2
Source: Alexandria
Functional: GGA-PBE
Structure: optimized geometry

Geometry as CIF:
```
data_SrCrPd2
_chemical_formula_sum 'Sr4 Cr4 Pd8'
_symmetry_space_group_name_H-M 'I -4 2 d'
_symmetry_Int_Tables_number 122
_symmetry_space_group_name_Hall 'I -4 2bw'
_cell_length_a 5.165
_cell_length_b 5.165
_cell_length_c 15.723
_cell_angle_alpha 90.00
_cell_angle_beta 90.00
_cell_angle_gamma 90.00
loop_
_atom_site_label
_atom_site_fract_x
_atom_site_fract_y
_atom_site_fract_z
Sr1 0.000 0.000 0.000
Cr1 0.000 0.000 0.500
Pd1 0.030 0.250 0.625
```

Results
- formation energy (eV per atom) = 0.410
- E above lowest polymorph (meV/atom) = 292